[1]
! Ca3ReRh (PBE, optimized geometry); values from VASP
! Energy above the most stable polymorph in this dataset (eV per atom): 0.000
! DFT formation energy (meV/atom): 809
! Size of the total moment (μB per formula unit): 3.5
! Space-group type: Pm-3m (221)
&SYSTEM
  ibrav = 0, nat = 5, ntyp = 3
/
ATOMIC_SPECIES
Ca 40.08 Ca.upf
Re 186.21 Re.upf
Rh 102.91 Rh.upf
CELL_PARAMETERS angstrom
5.312 0.000 0.000
0.000 5.312 0.000
0.000 0.000 5.312
ATOMIC_POSITIONS crystal
Ca 0.000 0.500 0.000
Ca 0.000 0.000 0.500
Ca 0.500 0.000 0.000
Re 0.500 0.500 0.500
Rh 0.000 0.000 0.000

---

[2]
! CaReRh (PBE, optimized geometry); values from VASP
! Energy above the most stable polymorph in this dataset (eV per atom): 0.210
! DFT formation energy (meV/atom): 129
! Size of the total moment (μB per formula unit): 0.0
! Space-group type: Imma (74)
&SYSTEM
  ibrav = 0, nat = 6, ntyp = 3
/
ATOMIC_SPECIES
Rh 102.91 Rh.upf
Ca 40.08 Ca.upf
Re 186.21 Re.upf
CELL_PARAMETERS angstrom
5.493 0.001 -0.003
-2.749 5.923 0.003
0.001 1.451 3.892
ATOMIC_POSITIONS crystal
Rh 0.362 0.583 0.642
Rh 0.862 0.583 0.642
Ca 0.985 0.328 0.269
Ca 0.739 0.837 0.015
Re 0.423 0.204 0.832
Re 0.301 0.962 0.452

---

[3]
! CaReRh (PBE, optimized geometry); values from VASP
! Energy above the most stable polymorph in this dataset (eV per atom): 0.213
! DFT formation energy (meV/atom): 132
! Size of the total moment (μB per formula unit): 0.0
! Space-group type: P4/nmm (129)
&SYSTEM
  ibrav = 0, nat = 6, ntyp = 3
/
ATOMIC_SPECIES
Re 186.21 Re.upf
Ca 40.08 Ca.upf
Rh 102.91 Rh.upf
CELL_PARAMETERS angstrom
-0.578 0.918 -3.687
-1.382 -3.525 -0.661
-7.536 2.611 1.831
ATOMIC_POSITIONS crystal
Re 0.500 0.500 0.500
Re 0.000 0.000 0.500
Ca 0.000 0.500 0.847
Ca 0.500 0.000 0.153
Rh 0.000 0.500 0.277
Rh 0.500 0.000 0.723

---

[4]
! CaReRh (PBE, optimized geometry); values from VASP
! Energy above the most stable polymorph in this dataset (eV per atom): 0.290
! DFT formation energy (meV/atom): 209
! Size of the total moment (μB per formula unit): 0.0
! Space-group type: I4mm (107)
&SYSTEM
  ibrav = 0, nat = 3, ntyp = 3
/
ATOMIC_SPECIES
Re 186.21 Re.upf
Rh 102.91 Rh.upf
Ca 40.08 Ca.upf
CELL_PARAMETERS angstrom
-0.064 5.836 -3.080
0.749 3.927 -5.250
-2.769 0.133 -1.154
ATOMIC_POSITIONS crystal
Re 0.693 0.693 0.307
Rh 0.308 0.308 0.692
Ca 0.999 0.999 0.001

---

[5]
! CaReRh (PBE, optimized geometry); values from VASP
! Energy above the most stable polymorph in this dataset (eV per atom): 1.839
! DFT formation energy (meV/atom): 1758
! Size of the total moment (μB per formula unit): 2.1
! Space-group type: P6_3/mmc (194)
&SYSTEM
  ibrav = 0, nat = 6, ntyp = 3
/
ATOMIC_SPECIES
Rh 102.91 Rh.upf
Re 186.21 Re.upf
Ca 40.08 Ca.upf
CELL_PARAMETERS angstrom
4.404 -2.543 0.000
0.000 5.086 0.000
0.000 0.000 9.209
ATOMIC_POSITIONS crystal
Rh 0.000 0.000 0.000
Rh 0.000 0.000 0.500
Re 0.000 0.000 0.250
Re 0.000 0.000 0.750
Ca 0.667 0.333 0.750
Ca 0.333 0.667 0.250

---

[6]
! CaReRu (PBE, optimized geometry); values from VASP
! Energy above the most stable polymorph in this dataset (eV per atom): 0.284
! DFT formation energy (meV/atom): 621
! Size of the total moment (μB per formula unit): 0.0
! Space-group type: P3m1 (156)
&SYSTEM
  ibrav = 0, nat = 3, ntyp = 3
/
ATOMIC_SPECIES
Ru 101.07 Ru.upf
Re 186.21 Re.upf
Ca 40.08 Ca.upf
CELL_PARAMETERS angstrom
-0.084 2.259 -3.856
-2.320 -3.798 0.416
-2.474 1.621 1.004
ATOMIC_POSITIONS crystal
Ru 0.333 0.667 0.572
Re 0.667 0.333 0.429
Ca 0.000 0.000 0.999

---

[7]
! Ca2ReRu (PBE, optimized geometry); values from VASP
! Energy above the most stable polymorph in this dataset (eV per atom): 0.000
! DFT formation energy (meV/atom): 257
! Size of the total moment (μB per formula unit): 0.0
! Space-group type: Pm (6)
&SYSTEM
  ibrav = 0, nat = 4, ntyp = 3
/
ATOMIC_SPECIES
Re 186.21 Re.upf
Ca 40.08 Ca.upf
Ru 101.07 Ru.upf
CELL_PARAMETERS angstrom
3.184 0.000 0.000
0.000 3.165 0.338
0.000 2.147 9.433
ATOMIC_POSITIONS crystal
Re 0.000 0.440 0.559
Ca 0.000 0.074 0.931
Ca 0.500 0.179 0.317
Ru 0.500 0.807 0.694

---

[8]
! Ca2ReRu (PBE, optimized geometry); values from VASP
! Energy above the most stable polymorph in this dataset (eV per atom): 0.862
! DFT formation energy (meV/atom): 1119
! Size of the total moment (μB per formula unit): 0.0
! Space-group type: I-42d (122)
&SYSTEM
  ibrav = 0, nat = 8, ntyp = 3
/
ATOMIC_SPECIES
Re 186.21 Re.upf
Ca 40.08 Ca.upf
Ru 101.07 Ru.upf
CELL_PARAMETERS angstrom
-5.053 -3.009 5.482
-2.986 -5.032 -5.514
-2.210 -5.832 0.657
ATOMIC_POSITIONS crystal
Re 0.000 0.000 0.000
Re 0.750 0.250 0.500
Ca 0.375 0.403 0.750
Ca 0.597 0.125 0.250
Ca 0.153 0.625 0.250
Ca 0.875 0.847 0.750
Ru 0.500 0.500 0.000
Ru 0.250 0.750 0.500